(1)
LaTl2HF: optimized geometry, PBE.

a b c (Å): 6.4556 4.2655 6.4556
angles (deg): 90.00 90.00 90.00
With the nearest neighbours (Å) after each atom.
Element x y z (fractional)
H (0.0000, 0.5000, 0.0000)  2 La 2.13
La (0.0000, 0.0000, 0.0000)  2 H 2.13
Tl (0.0000, 0.0000, 0.5000)  2 La 3.23
Tl (0.5000, 0.0000, 0.0000)  2 La 3.23
F (0.5000, 0.5000, 0.5000)  8 Tl 3.87, 2 F 4.27

Calculated values
Crystal system: tetragonal
Total magnetization, μB/cell: 0.0
SG: P4/mmm (123)

=====

(2)
La2ZrHF: optimized geometry, PBE.

a b c (Å): 4.8833 4.4948 4.8833
angles (deg): 90.00 90.00 90.00
With the nearest neighbours (Å) after each atom.
Element x y z (fractional)
Zr (0.5000, 0.5000, 0.5000)  8 La 3.32, 4 F 3.45
H (0.0000, 0.0000, 0.0000)  2 F 2.25, 4 La 2.44
La (0.5000, 0.0000, 0.0000)  2 H 2.44
La (0.0000, 0.0000, 0.5000)  2 H 2.44
F (0.0000, 0.5000, 0.0000)  2 H 2.25

Calculated values
Crystal system: tetragonal
Total magnetization, μB/cell: 0.0
SG: P4/mmm (123)

=====

(3)
Li2HF3: optimized geometry, PBE.

a b c (Å): 3.8769 6.1303 5.2301
angles (deg): 107.21 111.75 90.00
With the nearest neighbours (Å) after each atom.
Element x y z (fractional)
Li (0.6927, 0.5951, 0.3830)  4 F 1.94-1.96
Li (0.3073, 0.4049, 0.6170)  4 F 1.94-1.96
Li (0.6902, 0.0951, 0.3830)  4 F 1.94-1.96
Li (0.3098, 0.9049, 0.6170)  4 F 1.94-1.96
H (0.8153, 0.7500, 0.0000)  1 F 0.96
H (0.1847, 0.2500, 0.0000)  1 F 0.96
F (0.5680, 0.7500, 0.0000)  1 H 0.96
F (0.1759, 0.0881, 0.3530)  4 Li 1.94-1.96
F (0.4320, 0.2500, 0.0000)  1 H 0.96
F (0.8229, 0.4119, 0.6470)  4 Li 1.94-1.96
F (0.1771, 0.5881, 0.3530)  4 Li 1.94-1.96
F (0.8241, 0.9119, 0.6470)  4 Li 1.94-1.96

Calculated values
Crystal system: monoclinic
Total magnetization, μB/cell: 0.0
SG: C2/c (15)

=====

Electronic total energy (eV per formula unit)
-15.436, -25.044, -27.228